# 1
# TlAgMo2, relaxed, DFT PBE
data_TlAgMo2
_chemical_formula_sum 'Tl2 Ag2 Mo4'
_cell_length_a 10.032
_cell_length_b 3.249
_cell_length_c 4.729
_cell_angle_alpha 90.00
_cell_angle_beta 104.95
_cell_angle_gamma 90.00
_symmetry_space_group_name_H-M 'C 1 2/m 1'
_symmetry_Int_Tables_number 12
loop_
_symmetry_equiv_pos_as_xyz
'x,y,z'
'-x,-y,-z'
'-x,y,-z'
'x,-y,z'
'x+1/2,y+1/2,z'
'-x+1/2,-y+1/2,-z'
'-x+1/2,y+1/2,-z'
'x+1/2,-y+1/2,z'
loop_
_atom_site_label
_atom_site_type_symbol
_atom_site_fract_x
_atom_site_fract_y
_atom_site_fract_z
_atom_site_occupancy
Tl1 Tl 0.000 0.000 0.000 1
Ag1 Ag 0.000 0.500 0.500 1
Mo1 Mo 0.248 0.000 0.700 1
# Calculated total energy: -48.65 eV for the cell shown
# Energy of formation: 0.64 eV/atom
# D(E_F): 0.606 states/eV per atom

***

# 2
# TlHgB2Cl, relaxed, DFT PBE
data_TlHgB2Cl
_chemical_formula_sum 'Tl1 Hg1 B2 Cl1'
_cell_length_a 4.234
_cell_length_b 4.234
_cell_length_c 8.380
_cell_angle_alpha 90.00
_cell_angle_beta 90.00
_cell_angle_gamma 90.00
_symmetry_space_group_name_H-M 'P 4/m m m'
_symmetry_Int_Tables_number 123
_symmetry_space_group_name_Hall '-P 4 2'
loop_
_atom_site_label
_atom_site_type_symbol
_atom_site_fract_x
_atom_site_fract_y
_atom_site_fract_z
_atom_site_occupancy
Tl1 Tl 0.000 0.000 0.000 1
Hg1 Hg 0.500 0.500 0.500 1
B1 B 0.000 0.500 0.500 1
Cl1 Cl 0.500 0.500 0.000 1
# Calculated total energy: -12.40 eV for the cell shown
# Uncorrected formation energy: 1.094 eV/atom
# D(E_F): 0.238 states/eV per atom

***

# 3
# AgP2RuCl, relaxed, DFT PBE
data_AgP2RuCl
_chemical_formula_sum 'Ag1 P2 Ru1 Cl1'
_cell_length_a 4.758
_cell_length_b 4.758
_cell_length_c 4.949
_cell_angle_alpha 90.00
_cell_angle_beta 90.00
_cell_angle_gamma 90.00
_symmetry_space_group_name_H-M 'P 4/m m m'
_symmetry_Int_Tables_number 123
_symmetry_space_group_name_Hall '-P 4 2'
loop_
_atom_site_label
_atom_site_type_symbol
_atom_site_fract_x
_atom_site_fract_y
_atom_site_fract_z
_atom_site_occupancy
Ag1 Ag 0.000 0.000 0.000 1
P1 P 0.000 0.500 0.000 1
Ru1 Ru 0.500 0.500 0.500 1
Cl1 Cl 0.000 0.000 0.500 1
# Calculated total energy: -17.49 eV for the cell shown
# Uncorrected formation energy: 1.461 eV/atom
# D(E_F): 0.964 states/eV per atom

***

# 4
# HfAlBr3, relaxed, DFT PBE
data_HfAlBr3
_chemical_formula_sum 'Hf1 Al1 Br3'
_cell_length_a 5.293
_cell_length_b 5.293
_cell_length_c 5.293
_cell_angle_alpha 90.00
_cell_angle_beta 90.00
_cell_angle_gamma 90.00
_symmetry_space_group_name_H-M 'P m -3 m'
_symmetry_Int_Tables_number 221
_symmetry_space_group_name_Hall '-P 4 2 3'
loop_
_atom_site_label
_atom_site_type_symbol
_atom_site_fract_x
_atom_site_fract_y
_atom_site_fract_z
_atom_site_occupancy
Hf1 Hf 0.000 0.000 0.000 1
Al1 Al 0.500 0.500 0.500 1
Br1 Br 0.000 0.000 0.500 1
# Calculated total energy: -20.33 eV for the cell shown
# Uncorrected formation energy: -0.324 eV/atom
# D(E_F): 0.446 states/eV per atom